A geometry-optimized MgZn2Br6 structure. Source: Alexandria via LeMat-Bulk, functional PBE.

Lattice parameters (Å, degrees): 13.037 11.877 7.002 90.00 101.39 90.00
Space group C2/c (No. 15)
Unique sites:
Mg  0.000  0.107  0.250 x4
Zn  0.191  0.417  0.320 x8
Br  0.113  0.076  0.617 x8
Br  0.128  0.249  0.133 x8
Br  0.128  0.417  0.625 x8

Calculated values
* formation energy (no corrections): -1.0319 eV/atom
* volume: 1062.8 Å³/cell
* polymorph energy (0 for the lowest one): 21 meV per atom
* total magnetization: 0.000 μB per formula unit
* calculated total energy: -93.87 eV/cell

A geometry-optimized Mg2ZnBr structure. Source: Alexandria via LeMat-Bulk, functional PBE.

Lattice parameters (Å, degrees): 6.366 8.130 3.414 90.00 90.00 90.00
Space group Cmmm (No. 65)
Unique sites:
Mg  0.250  0.250  0.000 x4
Zn  0.000  0.000  0.500 x2
Br  0.000  0.500  0.500 x2

Calculated values
* formation energy (no corrections): -0.1564 eV/atom
* volume: 176.7 Å³/cell
* polymorph energy (0 for the lowest one): 217 meV per atom
* total magnetization: 0.000 μB per formula unit
* calculated total energy: -13.52 eV/cell

A geometry-optimized Mg2ZnBr structure. Source: Alexandria via LeMat-Bulk, functional PBE.

Lattice parameters (Å, degrees): 6.114 3.545 8.316 90.00 104.02 90.00
Space group C2/m (No. 12)
Unique sites:
Mg  0.243  0.000  0.236 x4
Zn  0.000  0.500  0.000 x2
Br  0.000  0.000  0.500 x2

Calculated values
* formation energy (no corrections): -0.3679 eV/atom
* volume: 174.9 Å³/cell
* polymorph energy (0 for the lowest one): 5 meV per atom
* total magnetization: 0.000 μB per formula unit
* calculated total energy: -15.21 eV/cell

A geometry-optimized MgZrZnBr2 structure. Source: Alexandria via LeMat-Bulk, functional PBE.

Lattice parameters (Å, degrees): 5.269 5.269 5.687 90.00 90.00 90.00
Space group P4/mmm (No. 123)
Unique sites:
Mg  0.000  0.000  0.000 x1
Zr  0.500  0.500  0.500 x1
Zn  0.500  0.500  0.000 x1
Br  0.000  0.500  0.500 x2

Calculated values
* formation energy (no corrections): -0.1544 eV/atom
* volume: 157.9 Å³/cell
* total magnetization: 0.001 μB per formula unit
* calculated total energy: -15.53 eV/cell